[1]
The following is a PBE calculation of a relaxed structure of K2Hg2Au15, from Alexandria.

Properties
As for the space-group type: No. 166. As for the calculated volume: 401.7 Å³ per cell. The value obtained for the formation energy is -0.1198 eV per atom.

a = 7.411 Å, b = 7.411 Å, c = 7.411 Å
α = 84.52°, β = 84.52°, γ = 84.52°
Positions (direct):
Au  0.162  0.659  0.659
K  0.349  0.349  0.349
Au  0.681  0.319  0.000
Hg  0.103  0.103  0.103
Au  0.341  0.838  0.341
Au  0.659  0.162  0.659
Au  0.000  0.319  0.681
Au  0.659  0.659  0.162
Au  0.319  0.000  0.681
Au  0.838  0.341  0.341
Au  0.500  0.000  0.000
Au  0.341  0.341  0.838
Au  0.319  0.681  0.000
Au  0.681  0.000  0.319
Au  0.000  0.681  0.319
Hg  0.897  0.897  0.897
Au  0.000  0.500  0.000
Au  0.000  0.000  0.500
K  0.651  0.651  0.651



[2]
The following is a PBE calculation of a relaxed structure of KHg6Au2, from Alexandria.

Properties
For the energy above the most stable polymorph in this dataset, the calculation gives 0.0000 eV per atom. As for the space-group type: No. 123. As for the calculated volume: 252.1 Å³ per cell. The value obtained for the formation energy is -0.0948 eV per atom.

a = 5.506 Å, b = 5.506 Å, c = 8.316 Å
α = 90.00°, β = 90.00°, γ = 90.00°
Positions (direct):
Hg  0.500  0.000  0.274
Au  0.500  0.500  0.162
Hg  0.500  0.000  0.726
K  0.000  0.000  0.000
Hg  0.500  0.500  0.500
Hg  0.000  0.500  0.274
Hg  0.000  0.500  0.726
Hg  0.000  0.000  0.500
Au  0.500  0.500  0.838



[3]
The following is a PBE calculation of a relaxed structure of K2Hg8Au, from Alexandria.

Properties
As for the space-group type: No. 123. As for the calculated volume: 328.6 Å³ per cell. The value obtained for the formation energy is -0.1592 eV per atom.

a = 5.103 Å, b = 5.103 Å, c = 12.619 Å
α = 90.00°, β = 90.00°, γ = 90.00°
Positions (direct):
K  0.000  0.000  0.305
K  0.000  0.000  0.695
Hg  0.500  0.000  0.876
Hg  0.000  0.500  0.876
Hg  0.500  0.500  0.700
Hg  0.500  0.500  0.300
Hg  0.000  0.500  0.500
Hg  0.000  0.500  0.124
Hg  0.500  0.000  0.500
Hg  0.500  0.000  0.124
Au  0.000  0.000  0.000



[4]
The following is a PBE calculation of a relaxed structure of K4Hg4Au, from Alexandria.

Properties
As for the space-group type: No. 86. As for the calculated volume: 687.4 Å³ per cell. The value obtained for the formation energy is -0.2438 eV per atom.

a = 7.118 Å, b = 9.828 Å, c = 9.828 Å
α = 90.00°, β = 90.00°, γ = 90.00°
Positions (direct):
K  0.067  0.518  0.186
K  0.567  0.814  0.018
Hg  0.440  0.989  0.655
Hg  0.940  0.155  0.011
K  0.067  0.982  0.314
Hg  0.560  0.489  0.155
Au  0.750  0.250  0.250
K  0.933  0.018  0.686
Hg  0.940  0.345  0.489
Au  0.250  0.750  0.750
Hg  0.060  0.845  0.989
K  0.433  0.314  0.518
Hg  0.560  0.011  0.345
K  0.433  0.186  0.982
Hg  0.060  0.655  0.511
K  0.933  0.482  0.814
K  0.567  0.686  0.482
Hg  0.440  0.511  0.845



[5]
The following is a PBE calculation of a relaxed structure of K2Hg6Au, from Alexandria.

Properties
For the energy above the most stable polymorph in this dataset, the calculation gives 0.0422 eV per atom. As for the space-group type: No. 12. As for the calculated volume: 271.7 Å³ per cell. The value obtained for the formation energy is -0.1793 eV per atom.

a = 7.288 Å, b = 7.288 Å, c = 7.267 Å
α = 59.78°, β = 59.78°, γ = 59.88°
Positions (direct):
Hg  0.222  0.778  0.222
K  0.750  0.750  0.752
Hg  0.778  0.778  0.223
Hg  0.222  0.778  0.778
Hg  0.778  0.222  0.222
Hg  0.778  0.222  0.778
K  0.250  0.250  0.248
Hg  0.222  0.222  0.777
Au  0.500  0.500  0.500



[6]
The following is a PBE calculation of a relaxed structure of KHg10Au2, from Alexandria.

Properties
For the energy above the most stable polymorph in this dataset, the calculation gives 0.0000 eV per atom. As for the space-group type: No. 4. As for the calculated volume: 704.2 Å³ per cell. The value obtained for the formation energy is -0.0583 eV per atom.

a = 8.213 Å, b = 8.031 Å, c = 10.770 Å
α = 90.00°, β = 90.00°, γ = 97.52°
Positions (direct):
Hg  0.388  0.680  0.445
Hg  0.389  0.317  0.275
Hg  0.839  0.779  0.035
Hg  0.611  0.683  0.775
Hg  0.161  0.222  0.535
Hg  0.549  0.407  0.576
Au  0.957  0.468  0.934
Hg  0.134  0.831  0.615
Hg  0.451  0.593  0.076
Hg  0.764  0.867  0.524
K  0.095  0.923  0.296
Hg  0.729  0.607  0.301
Hg  0.236  0.133  0.024
Hg  0.092  0.509  0.176
Au  0.470  0.061  0.460
Hg  0.908  0.491  0.676
Hg  0.194  0.769  0.895
Hg  0.271  0.393  0.801
Hg  0.866  0.169  0.115
K  0.905  0.077  0.796
Au  0.530  0.939  0.959
Hg  0.612  0.320  0.945
Hg  0.472  0.049  0.719
Hg  0.806  0.231  0.395
Au  0.043  0.532  0.434
Hg  0.528  0.951  0.219



no.,M_tot (μB per formula unit)
1,0.00
2,0.00
3,0.00
4,0.00
5,0.00
6,0.00